Computed, not measured: crystalline KNaTa3 at its relaxed geometry at the PBE level of DFT.

Cell: 4.951 4.951 4.951 Å, 90.00 90.00 90.00°
Fractional coordinates of all 5 atoms:
K  0.000  0.000  0.000
Na  0.500  0.500  0.500
Ta  0.000  0.500  0.500
Ta  0.500  0.000  0.500
Ta  0.500  0.500  0.000

Values from the calculation:
Total energy   -24.54 eV/f.u.
Polymorph energy (0 for the lowest one)   0.000 eV/atom
Space group   Pm-3m
ΔH_f (0 K)   2.69 eV per atom